Record 1
A plane-wave DFT calculation with PBE-GGA was carried out for crystalline HfBeZn3 at its relaxed geometry.

```
data_HfBeZn3
_cell_length_a 5.2011
_cell_length_b 5.2011
_cell_length_c 5.2011
_cell_angle_alpha 90.00
_cell_angle_beta 90.00
_cell_angle_gamma 90.00
_symmetry_space_group_name_H-M 'P m -3 m'
_symmetry_Int_Tables_number 221
_symmetry_space_group_name_Hall '-P 4 2 3'
loop_
_atom_site_label
_atom_site_type_symbol
_atom_site_fract_x
_atom_site_fract_y
_atom_site_fract_z
Hf1 Hf 0.0000 0.0000 0.0000
Be1 Be 0.5000 0.5000 0.5000
Zn1 Zn 0.0000 0.0000 0.5000
```

Calculated values
The formation energy comes out at 1.4819 eV per atom.

---

Record 2
A plane-wave DFT calculation with PBE-GGA was carried out for crystalline Tc2Ir4Rh at its relaxed geometry.

```
data_Tc2Ir4Rh
_cell_length_a 7.5917
_cell_length_b 7.5917
_cell_length_c 7.6759
_cell_angle_alpha 90.00
_cell_angle_beta 90.00
_cell_angle_gamma 90.00
_symmetry_space_group_name_H-M 'I -4 2 d'
_symmetry_Int_Tables_number 122
_symmetry_space_group_name_Hall 'I -4 2bw'
loop_
_atom_site_label
_atom_site_type_symbol
_atom_site_fract_x
_atom_site_fract_y
_atom_site_fract_z
Tc1 Tc 0.1328 0.2500 0.1250
Ir1 Ir 0.0902 0.1538 0.7970
Rh1 Rh 0.0000 0.0000 0.5000
```

Calculated values
The formation energy comes out at 0.4371 eV per atom.

---

Record 3
A plane-wave DFT calculation with PBE-GGA was carried out for crystalline TePtCl at its relaxed geometry.

```
data_TePtCl
_cell_length_a 3.6377
_cell_length_b 7.0539
_cell_length_c 13.8705
_cell_angle_alpha 90.00
_cell_angle_beta 90.00
_cell_angle_gamma 90.00
_symmetry_space_group_name_H-M 'F m m 2'
_symmetry_Int_Tables_number 42
_symmetry_space_group_name_Hall 'F 2 -2'
loop_
_atom_site_label
_atom_site_type_symbol
_atom_site_fract_x
_atom_site_fract_y
_atom_site_fract_z
Te1 Te 0.0000 0.0000 0.0000
Pt1 Pt 0.0000 0.0000 0.3743
Cl1 Cl 0.0000 0.0000 0.7559
```

Calculated values
Its raw formation energy is -0.2051 eV per atom.

---

Record 4
A plane-wave DFT calculation with PBE-GGA was carried out for crystalline La3CuAu2 at its relaxed geometry.

```
data_La3CuAu2
_cell_length_a 5.3262
_cell_length_b 15.9452
_cell_length_c 3.7311
_cell_angle_alpha 90.00
_cell_angle_beta 90.00
_cell_angle_gamma 90.00
_symmetry_space_group_name_H-M 'C m m m'
_symmetry_Int_Tables_number 65
_symmetry_space_group_name_Hall '-C 2 2'
loop_
_atom_site_label
_atom_site_type_symbol
_atom_site_fract_x
_atom_site_fract_y
_atom_site_fract_z
La1 La 0.0000 0.0000 0.0000
La2 La 0.0000 0.3362 0.0000
Cu1 Cu 0.0000 0.5000 0.5000
Au1 Au 0.0000 0.1649 0.5000
```

Calculated values
The formation energy comes out at -0.5620 eV per atom.

---

Record 5
A plane-wave DFT calculation with PBE-GGA was carried out for crystalline Pr7Y2Th2 at its relaxed geometry.

```
data_Pr7Y2Th2
_cell_length_a 11.6153
_cell_length_b 11.5668
_cell_length_c 6.2038
_cell_angle_alpha 90.00
_cell_angle_beta 111.94
_cell_angle_gamma 90.00
_symmetry_space_group_name_H-M 'C 1 2/m 1'
_symmetry_Int_Tables_number 12
loop_
_symmetry_equiv_pos_as_xyz
'x,y,z'
'-x,-y,-z'
'-x,y,-z'
'x,-y,z'
'x+1/2,y+1/2,z'
'-x+1/2,-y+1/2,-z'
'-x+1/2,y+1/2,-z'
'x+1/2,-y+1/2,z'
loop_
_atom_site_label
_atom_site_type_symbol
_atom_site_fract_x
_atom_site_fract_y
_atom_site_fract_z
Pr1 Pr 0.0000 0.0000 0.0000
Pr2 Pr 0.1798 0.2322 0.1710
Pr3 Pr 0.2337 0.0000 0.5948
Y1 Y 0.0000 0.2227 0.5000
Th1 Th 0.0709 0.5000 0.8031
```

Calculated values
The formation energy comes out at 0.1718 eV per atom.

---

Record 6
A plane-wave DFT calculation with PBE-GGA was carried out for crystalline Ba2Si3Au5 at its relaxed geometry.

```
data_Ba2Si3Au5
_cell_length_a 4.6367
_cell_length_b 4.6367
_cell_length_c 10.6552
_cell_angle_alpha 90.00
_cell_angle_beta 90.00
_cell_angle_gamma 90.00
_symmetry_space_group_name_H-M 'P -4 m 2'
_symmetry_Int_Tables_number 115
loop_
_symmetry_equiv_pos_as_xyz
'x,y,z'
'y,-x,-z'
'-x,-y,z'
'-y,x,-z'
'-x,y,z'
'-y,-x,-z'
'x,-y,z'
'y,x,-z'
loop_
_atom_site_label
_atom_site_type_symbol
_atom_site_fract_x
_atom_site_fract_y
_atom_site_fract_z
Ba1 Ba 0.0000 0.5000 0.2477
Si1 Si 0.0000 0.5000 0.6105
Si2 Si 0.5000 0.5000 0.5000
Au1 Au 0.0000 0.0000 0.0000
Au2 Au 0.0000 0.0000 0.5000
Au3 Au 0.0000 0.5000 0.8402
Au4 Au 0.5000 0.5000 0.0000
```

Calculated values
Its raw formation energy is -0.4122 eV per atom.

---

Record 7
A plane-wave DFT calculation with PBE-GGA was carried out for crystalline Pu3FePd12 at its relaxed geometry.

```
data_Pu3FePd12
_cell_length_a 4.1000
_cell_length_b 4.1000
_cell_length_c 16.1109
_cell_angle_alpha 90.00
_cell_angle_beta 90.00
_cell_angle_gamma 90.00
_symmetry_space_group_name_H-M 'P 4/m m m'
_symmetry_Int_Tables_number 123
_symmetry_space_group_name_Hall '-P 4 2'
loop_
_atom_site_label
_atom_site_type_symbol
_atom_site_fract_x
_atom_site_fract_y
_atom_site_fract_z
Pu1 Pu 0.0000 0.0000 0.0000
Pu2 Pu 0.0000 0.0000 0.2611
Fe1 Fe 0.0000 0.0000 0.5000
Pd1 Pd 0.0000 0.5000 0.1276
Pd2 Pd 0.0000 0.5000 0.3882
Pd3 Pd 0.5000 0.5000 0.0000
Pd4 Pd 0.5000 0.5000 0.2577
Pd5 Pd 0.5000 0.5000 0.5000
```

Calculated values
The formation energy comes out at -0.2163 eV per atom.

---

Record 8
A plane-wave DFT calculation with PBE-GGA was carried out for crystalline Ni4Se3 at its relaxed geometry.

```
data_Ni4Se3
_cell_length_a 5.5025
_cell_length_b 5.5025
_cell_length_c 4.2646
_cell_angle_alpha 90.00
_cell_angle_beta 90.00
_cell_angle_gamma 120.00
_symmetry_space_group_name_H-M 'P 6/m m m'
_symmetry_Int_Tables_number 191
_symmetry_space_group_name_Hall '-P 6 2'
loop_
_atom_site_label
_atom_site_type_symbol
_atom_site_fract_x
_atom_site_fract_y
_atom_site_fract_z
Ni1 Ni 0.0000 0.0000 0.2487
Ni2 Ni 0.3333 0.6667 0.0000
Se1 Se 0.0000 0.5000 0.5000
```

Calculated values
Its raw formation energy is 1.5601 eV per atom.

---

Record 9
A plane-wave DFT calculation with PBE-GGA was carried out for crystalline Cr2TcBr at its relaxed geometry.

```
data_Cr2TcBr
_cell_length_a 4.0703
_cell_length_b 4.0703
_cell_length_c 7.4029
_cell_angle_alpha 90.00
_cell_angle_beta 90.00
_cell_angle_gamma 90.00
_symmetry_space_group_name_H-M 'I 4/m m m'
_symmetry_Int_Tables_number 139
_symmetry_space_group_name_Hall '-I 4 2'
loop_
_atom_site_label
_atom_site_type_symbol
_atom_site_fract_x
_atom_site_fract_y
_atom_site_fract_z
Cr1 Cr 0.0000 0.5000 0.2500
Tc1 Tc 0.0000 0.0000 0.0000
Br1 Br 0.0000 0.0000 0.5000
```

Calculated values
Its raw formation energy is 0.9883 eV per atom.

---

Record 10
A plane-wave DFT calculation with PBE-GGA was carried out for crystalline Sr2YGe3Pt4 at its relaxed geometry.

```
data_Sr2YGe3Pt4
_cell_length_a 4.4253
_cell_length_b 4.4253
_cell_length_c 11.0252
_cell_angle_alpha 90.00
_cell_angle_beta 90.00
_cell_angle_gamma 90.00
_symmetry_space_group_name_H-M 'P -4 m 2'
_symmetry_Int_Tables_number 115
loop_
_symmetry_equiv_pos_as_xyz
'x,y,z'
'y,-x,-z'
'-x,-y,z'
'-y,x,-z'
'-x,y,z'
'-y,-x,-z'
'x,-y,z'
'y,x,-z'
loop_
_atom_site_label
_atom_site_type_symbol
_atom_site_fract_x
_atom_site_fract_y
_atom_site_fract_z
Sr1 Sr 0.0000 0.5000 0.2306
Y1 Y 0.0000 0.0000 0.5000
Ge1 Ge 0.0000 0.5000 0.8829
Ge2 Ge 0.5000 0.5000 0.5000
Pt1 Pt 0.0000 0.0000 0.0000
Pt2 Pt 0.0000 0.5000 0.6569
Pt3 Pt 0.5000 0.5000 0.0000
```

Calculated values
The formation energy comes out at -0.8736 eV per atom.

---

Record 11
A plane-wave DFT calculation with PBE-GGA was carried out for crystalline ErMgCuGe at its relaxed geometry.

```
data_ErMgCuGe
_cell_length_a 6.7423
_cell_length_b 6.7423
_cell_length_c 6.7423
_cell_angle_alpha 90.00
_cell_angle_beta 90.00
_cell_angle_gamma 90.00
_symmetry_space_group_name_H-M 'F -4 3 m'
_symmetry_Int_Tables_number 216
_symmetry_space_group_name_Hall 'F -4 2 3'
loop_
_atom_site_label
_atom_site_type_symbol
_atom_site_fract_x
_atom_site_fract_y
_atom_site_fract_z
Er1 Er 0.0000 0.0000 0.0000
Mg1 Mg 0.0000 0.0000 0.5000
Cu1 Cu 0.2500 0.2500 0.7500
Ge1 Ge 0.2500 0.2500 0.2500
```

Calculated values
The formation energy comes out at -0.3759 eV per atom.

---

Record 12
A plane-wave DFT calculation with PBE-GGA was carried out for crystalline Tb5PrNd2Er at its relaxed geometry.

```
data_Tb5PrNd2Er
_cell_length_a 8.7761
_cell_length_b 8.7761
_cell_length_c 15.5943
_cell_angle_alpha 90.00
_cell_angle_beta 90.00
_cell_angle_gamma 90.00
_symmetry_space_group_name_H-M 'I 4/m c m'
_symmetry_Int_Tables_number 140
_symmetry_space_group_name_Hall '-I 4 2c'
loop_
_atom_site_label
_atom_site_type_symbol
_atom_site_fract_x
_atom_site_fract_y
_atom_site_fract_z
Tb1 Tb 0.0000 0.0000 0.0000
Tb2 Tb 0.2101 0.2899 0.1378
Pr1 Pr 0.0000 0.0000 0.2500
Nd1 Nd 0.1171 0.3829 0.5000
Er1 Er 0.0000 0.5000 0.2500
```

Calculated values
The formation energy comes out at 0.2667 eV per atom.

---

Number 1: size of the total moment 0.95 μB per cell. Number 2: size of the total moment 0.00 μB per cell. Number 3: size of the total moment 0.00 μB per cell. Number 4: size of the total moment 0.00 μB per cell. Number 5: size of the total moment 0.00 μB per cell. Number 6: size of the total moment 0.00 μB per cell. Number 7: size of the total moment 9.25 μB per cell. Number 8: size of the total moment 0.22 μB per cell. Number 9: size of the total moment 8.89 μB per cell. Number 10: size of the total moment 0.00 μB per cell. Number 11: size of the total moment 0.00 μB per cell. Number 12: size of the total moment 0.00 μB per cell.